one) VASP calculation (PBE-GGA) on CaPrTlAu after structural relaxation.

The structure in CIF format:
```
data_CaPrTlAu
_space_group_name_H-M_alt 'P 4 m m'
_space_group_IT_number 99
_space_group_name_Hall 'P 4 -2'
_cell_length_a 3.745
_cell_length_b 3.745
_cell_length_c 7.886
_cell_angle_alpha 90.00
_cell_angle_beta 90.00
_cell_angle_gamma 90.00
loop_
_atom_site_label
_atom_site_type_symbol
_atom_site_fract_x
_atom_site_fract_y
_atom_site_fract_z
Ca1 Ca 0.000 0.000 0.000
Pr1 Pr 0.000 0.000 0.460
Tl1 Tl 0.500 0.500 0.734
Au1 Au 0.500 0.500 0.231
```

**Size of the total moment**: 0.002 μB per cell
**Crystal system**: tetragonal

two) VASP calculation (PBE-GGA) on CaPrTlAu after structural relaxation.

The structure in CIF format:
```
data_CaPrTlAu
_space_group_name_H-M_alt 'F -4 3 m'
_space_group_IT_number 216
_space_group_name_Hall 'F -4 2 3'
_cell_length_a 7.597
_cell_length_b 7.597
_cell_length_c 7.597
_cell_angle_alpha 90.00
_cell_angle_beta 90.00
_cell_angle_gamma 90.00
loop_
_atom_site_label
_atom_site_type_symbol
_atom_site_fract_x
_atom_site_fract_y
_atom_site_fract_z
Ca1 Ca 0.000 0.000 0.000
Pr1 Pr 0.000 0.000 0.500
Tl1 Tl 0.250 0.250 0.750
Au1 Au 0.250 0.250 0.250
```

**Size of the total moment**: 0.000 μB per cell
**Crystal system**: cubic

Which one is most stable, and which one is least stable? one) is the most stable of them, while two) is the least stable.

one) VASP calculation (PBE-GGA) on CaPtAu after structural relaxation.

The structure in CIF format:
```
data_CaPtAu
_space_group_name_H-M_alt 'P -6 m 2'
_space_group_IT_number 187
_space_group_name_Hall 'P -6 2'
_cell_length_a 4.5765
_cell_length_b 4.5765
_cell_length_c 3.7017
_cell_angle_alpha 90.00
_cell_angle_beta 90.00
_cell_angle_gamma 120.00
loop_
_atom_site_label
_atom_site_type_symbol
_atom_site_fract_x
_atom_site_fract_y
_atom_site_fract_z
Ca1 Ca 0.0000 0.0000 0.0000
Pt1 Pt 0.3333 0.6667 0.5000
Au1 Au 0.6667 0.3333 0.5000
```

**Size of the total moment**: 0.000 μB per cell
**Crystal system**: hexagonal

two) VASP calculation (PBE-GGA) on CaPtAu after structural relaxation.

The structure in CIF format:
```
data_CaPtAu
_space_group_name_H-M_alt 'C 1 2/m 1'
_space_group_IT_number 12
_space_group_name_Hall '-C 2y'
_cell_length_a 5.945
_cell_length_b 5.806
_cell_length_c 7.104
_cell_angle_alpha 90.00
_cell_angle_beta 99.35
_cell_angle_gamma 90.00
loop_
_atom_site_label
_atom_site_type_symbol
_atom_site_fract_x
_atom_site_fract_y
_atom_site_fract_z
Ca1 Ca 0.089 0.000 0.313
Pt1 Pt 0.075 0.500 0.321
Au1 Au 0.250 0.250 0.000
```

**Size of the total moment**: 0.000 μB per cell
**Crystal system**: monoclinic

three) VASP calculation (PBE-GGA) on CaPtAu after structural relaxation.

The structure in CIF format:
```
data_CaPtAu
_space_group_name_H-M_alt 'F -4 3 m'
_space_group_IT_number 216
_space_group_name_Hall 'F -4 2 3'
_cell_length_a 6.582
_cell_length_b 6.582
_cell_length_c 6.582
_cell_angle_alpha 90.00
_cell_angle_beta 90.00
_cell_angle_gamma 90.00
loop_
_atom_site_label
_atom_site_type_symbol
_atom_site_fract_x
_atom_site_fract_y
_atom_site_fract_z
Ca1 Ca 0.000 0.000 0.000
Pt1 Pt 0.250 0.250 0.250
Au1 Au 0.000 0.000 0.500
```

**Size of the total moment**: 0.000 μB per cell
**Crystal system**: cubic

four) VASP calculation (PBE-GGA) on CaPtAu after structural relaxation.

The structure in CIF format:
```
data_CaPtAu
_space_group_name_H-M_alt 'I m m a'
_space_group_IT_number 74
_space_group_name_Hall '-I 2b 2'
_cell_length_a 5.572
_cell_length_b 5.607
_cell_length_c 7.811
_cell_angle_alpha 90.00
_cell_angle_beta 90.00
_cell_angle_gamma 90.00
loop_
_atom_site_label
_atom_site_type_symbol
_atom_site_fract_x
_atom_site_fract_y
_atom_site_fract_z
Ca1 Ca 0.000 0.250 0.130
Pt1 Pt 0.000 0.000 0.500
Au1 Au 0.250 0.250 0.750
```

**Size of the total moment**: 0.000 μB per cell
**Crystal system**: orthorhombic

Which one is most stable, and which one is least stable? four) is the most stable of them, while three) is the least stable.

one) VASP calculation (PBE-GGA) on CaPtAu after structural relaxation.

The structure in CIF format:
```
data_CaPtAu
_space_group_name_H-M_alt 'I 4 m m'
_space_group_IT_number 107
_space_group_name_Hall 'I 4 -2'
_cell_length_a 3.673
_cell_length_b 3.673
_cell_length_c 9.121
_cell_angle_alpha 90.00
_cell_angle_beta 90.00
_cell_angle_gamma 90.00
loop_
_atom_site_label
_atom_site_type_symbol
_atom_site_fract_x
_atom_site_fract_y
_atom_site_fract_z
Ca1 Ca 0.000 0.000 0.000
Pt1 Pt 0.000 0.000 0.668
Au1 Au 0.000 0.000 0.323
```

**Size of the total moment**: 0.000 μB per cell
**Crystal system**: tetragonal

two) VASP calculation (PBE-GGA) on CaPtAu after structural relaxation.

The structure in CIF format:
```
data_CaPtAu
_space_group_name_H-M_alt 'P 3 m 1'
_space_group_IT_number 156
_space_group_name_Hall 'P 3 -2"'
_cell_length_a 3.2818
_cell_length_b 3.2818
_cell_length_c 6.6864
_cell_angle_alpha 90.00
_cell_angle_beta 90.00
_cell_angle_gamma 120.00
loop_
_atom_site_label
_atom_site_type_symbol
_atom_site_fract_x
_atom_site_fract_y
_atom_site_fract_z
Ca1 Ca 0.0000 0.0000 0.0000
Pt1 Pt 0.6667 0.3333 0.3214
Au1 Au 0.3333 0.6667 0.6489
```

**Size of the total moment**: 0.000 μB per cell
**Crystal system**: trigonal

three) VASP calculation (PBE-GGA) on CaPtAu after structural relaxation.

The structure in CIF format:
```
data_CaPtAu
_space_group_name_H-M_alt 'F -4 3 m'
_space_group_IT_number 216
_space_group_name_Hall 'F -4 2 3'
_cell_length_a 6.605
_cell_length_b 6.605
_cell_length_c 6.605
_cell_angle_alpha 90.00
_cell_angle_beta 90.00
_cell_angle_gamma 90.00
loop_
_atom_site_label
_atom_site_type_symbol
_atom_site_fract_x
_atom_site_fract_y
_atom_site_fract_z
Ca1 Ca 0.000 0.000 0.000
Pt1 Pt 0.250 0.250 0.750
Au1 Au 0.250 0.250 0.250
```

**Size of the total moment**: 0.000 μB per cell
**Crystal system**: cubic

Which one is most stable, and which one is least stable? one) is the most stable of them, while three) is the least stable.

one) VASP calculation (PBE-GGA) on CaPt3Au after structural relaxation.

The structure in CIF format:
```
data_CaPt3Au
_space_group_name_H-M_alt 'P m -3 m'
_space_group_IT_number 221
_space_group_name_Hall '-P 4 2 3'
_cell_length_a 4.890
_cell_length_b 4.890
_cell_length_c 4.890
_cell_angle_alpha 90.00
_cell_angle_beta 90.00
_cell_angle_gamma 90.00
loop_
_atom_site_label
_atom_site_type_symbol
_atom_site_fract_x
_atom_site_fract_y
_atom_site_fract_z
Ca1 Ca 0.000 0.000 0.000
Pt1 Pt 0.000 0.000 0.500
Au1 Au 0.500 0.500 0.500
```

**Size of the total moment**: 0.000 μB per cell
**Crystal system**: cubic

two) VASP calculation (PBE-GGA) on CaPt3Au after structural relaxation.

The structure in CIF format:
```
data_CaPt3Au
_space_group_name_H-M_alt 'P m -3 m'
_space_group_IT_number 221
_space_group_name_Hall '-P 4 2 3'
_cell_length_a 4.999
_cell_length_b 4.999
_cell_length_c 4.999
_cell_angle_alpha 90.00
_cell_angle_beta 90.00
_cell_angle_gamma 90.00
loop_
_atom_site_label
_atom_site_type_symbol
_atom_site_fract_x
_atom_site_fract_y
_atom_site_fract_z
Ca1 Ca 0.000 0.000 0.000
Pt1 Pt 0.000 0.500 0.500
Au1 Au 0.500 0.500 0.500
```

**Size of the total moment**: 0.000 μB per cell
**Crystal system**: cubic

Which one is most stable, and which one is least stable? two) is the most stable of them, while one) is the least stable.

one) VASP calculation (PBE-GGA) on Ca2Pt2Au after structural relaxation.

The structure in CIF format:
```
data_Ca2Pt2Au
_space_group_name_H-M_alt 'I 4/m m m'
_space_group_IT_number 139
_space_group_name_Hall '-I 4 2'
_cell_length_a 3.777
_cell_length_b 3.777
_cell_length_c 16.423
_cell_angle_alpha 90.00
_cell_angle_beta 90.00
_cell_angle_gamma 90.00
loop_
_atom_site_label
_atom_site_type_symbol
_atom_site_fract_x
_atom_site_fract_y
_atom_site_fract_z
Ca1 Ca 0.000 0.000 0.112
Pt1 Pt 0.000 0.500 0.250
Au1 Au 0.000 0.000 0.500
```

**Size of the total moment**: 0.000 μB per cell
**Crystal system**: tetragonal

two) VASP calculation (PBE-GGA) on Ca2Pt2Au after structural relaxation.

The structure in CIF format:
```
data_Ca2Pt2Au
_space_group_name_H-M_alt 'P 4/m b m'
_space_group_IT_number 127
_space_group_name_Hall '-P 4 2ab'
_cell_length_a 8.475
_cell_length_b 8.475
_cell_length_c 3.025
_cell_angle_alpha 90.00
_cell_angle_beta 90.00
_cell_angle_gamma 90.00
loop_
_atom_site_label
_atom_site_type_symbol
_atom_site_fract_x
_atom_site_fract_y
_atom_site_fract_z
Ca1 Ca 0.170 0.330 0.000
Pt1 Pt 0.124 0.624 0.500
Au1 Au 0.000 0.000 0.000
```

**Size of the total moment**: 0.000 μB per cell
**Crystal system**: tetragonal

Which one is most stable, and which one is least stable? one) is the most stable of them, while two) is the least stable.

one) VASP calculation (PBE-GGA) on Ca2Pt2Au after structural relaxation.

The structure in CIF format:
```
data_Ca2Pt2Au
_space_group_name_H-M_alt 'P 4/m b m'
_space_group_IT_number 127
_space_group_name_Hall '-P 4 2ab'
_cell_length_a 7.283
_cell_length_b 7.283
_cell_length_c 4.099
_cell_angle_alpha 90.00
_cell_angle_beta 90.00
_cell_angle_gamma 90.00
loop_
_atom_site_label
_atom_site_type_symbol
_atom_site_fract_x
_atom_site_fract_y
_atom_site_fract_z
Ca1 Ca 0.173 0.327 0.000
Pt1 Pt 0.131 0.631 0.500
Au1 Au 0.000 0.000 0.500
```

**Size of the total moment**: 0.000 μB per cell
**Crystal system**: tetragonal

two) VASP calculation (PBE-GGA) on Ca2Pt2Au after structural relaxation.

The structure in CIF format:
```
data_Ca2Pt2Au
_space_group_name_H-M_alt 'I 4/m m m'
_space_group_IT_number 139
_space_group_name_Hall '-I 4 2'
_cell_length_a 5.529
_cell_length_b 5.529
_cell_length_c 7.971
_cell_angle_alpha 90.00
_cell_angle_beta 90.00
_cell_angle_gamma 90.00
loop_
_atom_site_label
_atom_site_type_symbol
_atom_site_fract_x
_atom_site_fract_y
_atom_site_fract_z
Ca1 Ca 0.000 0.500 0.250
Pt1 Pt 0.000 0.000 0.161
Au1 Au 0.000 0.000 0.500
```

**Size of the total moment**: 0.000 μB per cell
**Crystal system**: tetragonal

three) VASP calculation (PBE-GGA) on Ca2Pt2Au after structural relaxation.

The structure in CIF format:
```
data_Ca2Pt2Au
_space_group_name_H-M_alt 'C 1 2/c 1'
_space_group_IT_number 15
_space_group_name_Hall '-C 2yc'
_cell_length_a 9.823
_cell_length_b 5.542
_cell_length_c 8.329
_cell_angle_alpha 90.00
_cell_angle_beta 106.17
_cell_angle_gamma 90.00
loop_
_atom_site_label
_atom_site_type_symbol
_atom_site_fract_x
_atom_site_fract_y
_atom_site_fract_z
Ca1 Ca 0.151 0.144 0.152
Pt1 Pt 0.133 0.363 0.504
Au1 Au 0.000 0.314 0.750
```

**Size of the total moment**: 0.000 μB per cell
**Crystal system**: monoclinic

Which one is most stable, and which one is least stable? three) is the most stable of them, while two) is the least stable.

one) VASP calculation (PBE-GGA) on CaPuPtAu after structural relaxation.

The structure in CIF format:
```
data_CaPuPtAu
_space_group_name_H-M_alt 'F -4 3 m'
_space_group_IT_number 216
_space_group_name_Hall 'F -4 2 3'
_cell_length_a 7.146
_cell_length_b 7.146
_cell_length_c 7.146
_cell_angle_alpha 90.00
_cell_angle_beta 90.00
_cell_angle_gamma 90.00
loop_
_atom_site_label
_atom_site_type_symbol
_atom_site_fract_x
_atom_site_fract_y
_atom_site_fract_z
Ca1 Ca 0.000 0.000 0.000
Pu1 Pu 0.000 0.000 0.500
Pt1 Pt 0.250 0.250 0.250
Au1 Au 0.250 0.250 0.750
```

**Size of the total moment**: 22.954 μB per cell
**Crystal system**: cubic

two) VASP calculation (PBE-GGA) on CaPuPtAu after structural relaxation.

The structure in CIF format:
```
data_CaPuPtAu
_space_group_name_H-M_alt 'A m m 2'
_space_group_IT_number 38
_space_group_name_Hall 'A 2 -2'
_cell_length_a 4.352
_cell_length_b 3.910
_cell_length_c 11.300
_cell_angle_alpha 90.00
_cell_angle_beta 90.00
_cell_angle_gamma 90.00
loop_
_atom_site_label
_atom_site_type_symbol
_atom_site_fract_x
_atom_site_fract_y
_atom_site_fract_z
Ca1 Ca 0.000 0.000 0.000
Pu1 Pu 0.500 0.000 0.279
Pt1 Pt 0.000 0.000 0.736
Au1 Au 0.500 0.000 0.559
```

**Size of the total moment**: 11.234 μB per cell
**Crystal system**: orthorhombic

Which one is most stable, and which one is least stable? two) is the most stable of them, while one) is the least stable.

one) VASP calculation (PBE-GGA) on CaTbPtAu after structural relaxation.

The structure in CIF format:
```
data_CaTbPtAu
_space_group_name_H-M_alt 'F -4 3 m'
_space_group_IT_number 216
_space_group_name_Hall 'F -4 2 3'
_cell_length_a 7.100
_cell_length_b 7.100
_cell_length_c 7.100
_cell_angle_alpha 90.00
_cell_angle_beta 90.00
_cell_angle_gamma 90.00
loop_
_atom_site_label
_atom_site_type_symbol
_atom_site_fract_x
_atom_site_fract_y
_atom_site_fract_z
Ca1 Ca 0.000 0.000 0.000
Tb1 Tb 0.000 0.000 0.500
Pt1 Pt 0.250 0.250 0.750
Au1 Au 0.250 0.250 0.250
```

**Size of the total moment**: 0.000 μB per cell
**Crystal system**: cubic

two) VASP calculation (PBE-GGA) on CaTbPtAu after structural relaxation.

The structure in CIF format:
```
data_CaTbPtAu
_space_group_name_H-M_alt 'A m m 2'
_space_group_IT_number 38
_space_group_name_Hall 'A 2 -2'
_cell_length_a 4.422
_cell_length_b 3.879
_cell_length_c 11.087
_cell_angle_alpha 90.00
_cell_angle_beta 90.00
_cell_angle_gamma 90.00
loop_
_atom_site_label
_atom_site_type_symbol
_atom_site_fract_x
_atom_site_fract_y
_atom_site_fract_z
Ca1 Ca 0.000 0.000 0.000
Tb1 Tb 0.500 0.000 0.279
Pt1 Pt 0.000 0.000 0.732
Au1 Au 0.500 0.000 0.559
```

**Size of the total moment**: 0.000 μB per cell
**Crystal system**: orthorhombic

Which one is most stable, and which one is least stable? two) is the most stable of them, while one) is the least stable.